No. 1
First-principles (PBE) data for an optimized crystal structure of Zn2PbClO, as listed in Alexandria via LeMat-Bulk.

a b c (Å): 4.2556 4.2556 5.9017
angles (deg): 90.00 90.00 90.00
Last column: nearest neighbours and their distance in Å.
Atoms (fractional coordinates):
1 Zn 0.0000 0.5000 0.0000  2 O 2.13
2 Zn 0.5000 0.0000 0.0000  2 O 2.13
3 Pb 0.0000 0.0000 0.5000  2 O 2.95, 4 Cl 3.01
4 Cl 0.5000 0.5000 0.5000  4 Pb 3.01
5 O 0.0000 0.0000 0.0000  4 Zn 2.13

## Properties
SG = No. 123
ΔE_f (raw) = -29 kJ per mole of atoms

---

No. 2
First-principles (PBE) data for an optimized crystal structure of ZrPbClO2, as listed in Alexandria via LeMat-Bulk.

a b c (Å): 4.2308 4.2308 5.2304
angles (deg): 90.00 90.00 90.00
Last column: nearest neighbours and their distance in Å.
Atoms (fractional coordinates):
1 Zr 0.0000 0.0000 0.0000  4 O 2.12
2 Pb 0.5000 0.5000 0.5000  4 Cl 2.99
3 Cl 0.0000 0.0000 0.5000  2 Zr 2.62
4 O 0.0000 0.5000 0.0000  2 Zr 2.12
5 O 0.5000 0.0000 0.0000  2 Zr 2.12

## Properties
SG = No. 123
ΔE_f (raw) = -161 kJ per mole of atoms

---

No. 3
First-principles (PBE) data for an optimized crystal structure of PdClO, as listed in Alexandria via LeMat-Bulk.

a b c (Å): 3.3529 3.3529 5.1118
angles (deg): 90.00 90.00 120.00
Last column: nearest neighbours and their distance in Å.
Atoms (fractional coordinates):
1 Pd 0.0000 0.0000 0.0000  3 O 2.13
2 Cl 0.3333 0.6667 0.7003  3 Pd 2.47
3 O 0.6667 0.3333 0.1730  3 Pd 2.13

## Properties
SG = No. 156
ΔE_f (raw) = -9 kJ per mole of atoms

---

What is the formula in the third record? PdClO